# HfPI2, optimized geometry, DFT PBE-GGA
data_HfPI2
_space_group_name_H-M_alt 'F m -3 m'
_space_group_IT_number 225
_space_group_name_Hall '-F 4 2 3'
_cell_length_a 7.1845
_cell_length_b 7.1845
_cell_length_c 7.1845
_cell_angle_alpha 90.00
_cell_angle_beta 90.00
_cell_angle_gamma 90.00
loop_
_atom_site_label
_atom_site_type_symbol
_atom_site_fract_x
_atom_site_fract_y
_atom_site_fract_z
Hf1 Hf 0.0000 0.0000 0.0000
P1 P 0.0000 0.0000 0.5000
I1 I 0.2500 0.2500 0.2500
# Energy above the most stable polymorph in this dataset = 0.610 eV per atom
# ΔE_f (raw) = 0.3984 eV per atom